# 1
SbPt2W: relaxed, GGA-PBE.

```
data_SbPt2W
_cell_length_a 3.961
_cell_length_b 3.961
_cell_length_c 4.351
_cell_angle_alpha 90.00
_cell_angle_beta 90.00
_cell_angle_gamma 90.00
_space_group_name_H-M_alt 'P 4/m m m'
_space_group_IT_number 123
_space_group_name_Hall '-P 4 2'
loop_
_atom_site_label
_atom_site_type_symbol
_atom_site_fract_x
_atom_site_fract_y
_atom_site_fract_z
_atom_site_occupancy
Sb1 Sb 0.000 0.000 0.000 1
Pt1 Pt 0.000 0.500 0.500 1
W1 W 0.500 0.500 0.000 1
```

Calculated density (Mg/m³): 16.92

# 2
Sb2PtW: relaxed, GGA-PBE.

```
data_Sb2PtW
_cell_length_a 6.523
_cell_length_b 9.097
_cell_length_c 3.025
_cell_angle_alpha 90.00
_cell_angle_beta 117.41
_cell_angle_gamma 90.00
_space_group_name_H-M_alt 'C 1 2/m 1'
_space_group_IT_number 12
loop_
_space_group_symop_operation_xyz
'x,y,z'
'-x,-y,-z'
'-x,y,-z'
'x,-y,z'
'x+1/2,y+1/2,z'
'-x+1/2,-y+1/2,-z'
'-x+1/2,y+1/2,-z'
'x+1/2,-y+1/2,z'
loop_
_atom_site_label
_atom_site_type_symbol
_atom_site_fract_x
_atom_site_fract_y
_atom_site_fract_z
_atom_site_occupancy
Sb1 Sb 0.250 0.250 0.000 1
Pt1 Pt 0.000 0.000 0.500 1
W1 W 0.000 0.500 0.500 1
```

Excess energy over the best structure of this formula in the dataset (kJ/mol of formula units): 177
Calculated density (Mg/m³): 12.97

# 3
Sb2PtW: relaxed, GGA-PBE.

```
data_Sb2PtW
_cell_length_a 2.935
_cell_length_b 3.928
_cell_length_c 7.925
_cell_angle_alpha 90.00
_cell_angle_beta 90.00
_cell_angle_gamma 90.00
_space_group_name_H-M_alt 'P m m 2'
_space_group_IT_number 25
loop_
_space_group_symop_operation_xyz
'x,y,z'
'-x,-y,z'
'-x,y,z'
'x,-y,z'
loop_
_atom_site_label
_atom_site_type_symbol
_atom_site_fract_x
_atom_site_fract_y
_atom_site_fract_z
_atom_site_occupancy
Sb1 Sb 0.000 0.000 0.000 1
Sb2 Sb 0.500 0.500 0.418 1
Pt1 Pt 0.500 0.500 0.802 1
W1 W 0.000 0.000 0.639 1
```

Excess energy over the best structure of this formula in the dataset (kJ/mol of formula units): 14
Calculated density (Mg/m³): 11.31

# 4
Sb2PtW: relaxed, GGA-PBE.

```
data_Sb2PtW
_cell_length_a 3.2907
_cell_length_b 3.2907
_cell_length_c 25.1497
_cell_angle_alpha 90.00
_cell_angle_beta 90.00
_cell_angle_gamma 120.00
_space_group_name_H-M_alt 'R -3 m'
_space_group_IT_number 166
_space_group_name_Hall '-R 3 2"'
loop_
_atom_site_label
_atom_site_type_symbol
_atom_site_fract_x
_atom_site_fract_y
_atom_site_fract_z
_atom_site_occupancy
Sb1 Sb 0.0000 0.0000 0.2494 1
Pt1 Pt 0.0000 0.0000 0.0000 1
W1 W 0.0000 0.0000 0.5000 1
```

Excess energy over the best structure of this formula in the dataset (kJ/mol of formula units): 78
Calculated density (Mg/m³): 13.15

# 5
SbPtW: relaxed, GGA-PBE.

```
data_SbPtW
_cell_length_a 2.985
_cell_length_b 2.985
_cell_length_c 12.944
_cell_angle_alpha 90.00
_cell_angle_beta 90.00
_cell_angle_gamma 90.00
_space_group_name_H-M_alt 'I 4 m m'
_space_group_IT_number 107
_space_group_name_Hall 'I 4 -2'
loop_
_atom_site_label
_atom_site_type_symbol
_atom_site_fract_x
_atom_site_fract_y
_atom_site_fract_z
_atom_site_occupancy
Sb1 Sb 0.000 0.000 0.000 1
Pt1 Pt 0.000 0.000 0.295 1
W1 W 0.000 0.000 0.667 1
```

Excess energy over the best structure of this formula in the dataset (kJ/mol of formula units): 0
Calculated density (Mg/m³): 14.42

# 6
Sb2PtW: relaxed, GGA-PBE.

```
data_Sb2PtW
_cell_length_a 4.152
_cell_length_b 3.646
_cell_length_c 10.600
_cell_angle_alpha 90.00
_cell_angle_beta 90.00
_cell_angle_gamma 90.00
_space_group_name_H-M_alt 'A m m 2'
_space_group_IT_number 38
loop_
_space_group_symop_operation_xyz
'x,y,z'
'-x,-y,z'
'-x,y,z'
'x,-y,z'
'x,y+1/2,z+1/2'
'-x,-y+1/2,z+1/2'
'-x,y+1/2,z+1/2'
'x,-y+1/2,z+1/2'
loop_
_atom_site_label
_atom_site_type_symbol
_atom_site_fract_x
_atom_site_fract_y
_atom_site_fract_z
_atom_site_occupancy
Sb1 Sb 0.000 0.000 0.000 1
Sb2 Sb 0.500 0.000 0.296 1
Pt1 Pt 0.000 0.000 0.746 1
W1 W 0.500 0.000 0.579 1
```

Excess energy over the best structure of this formula in the dataset (kJ/mol of formula units): 7
Calculated density (Mg/m³): 12.89

# 7
SbPtW: relaxed, GGA-PBE.

```
data_SbPtW
_cell_length_a 2.914
_cell_length_b 4.061
_cell_length_c 9.334
_cell_angle_alpha 90.00
_cell_angle_beta 90.00
_cell_angle_gamma 90.00
_space_group_name_H-M_alt 'I m m 2'
_space_group_IT_number 44
loop_
_space_group_symop_operation_xyz
'x,y,z'
'-x,-y,z'
'-x,y,z'
'x,-y,z'
'x+1/2,y+1/2,z+1/2'
'-x+1/2,-y+1/2,z+1/2'
'-x+1/2,y+1/2,z+1/2'
'x+1/2,-y+1/2,z+1/2'
loop_
_atom_site_label
_atom_site_type_symbol
_atom_site_fract_x
_atom_site_fract_y
_atom_site_fract_z
_atom_site_occupancy
Sb1 Sb 0.000 0.000 0.000 1
Pt1 Pt 0.000 0.000 0.314 1
W1 W 0.000 0.000 0.690 1
```

Excess energy over the best structure of this formula in the dataset (kJ/mol of formula units): 27
Calculated density (Mg/m³): 15.06

# 8
SbPt2W: relaxed, GGA-PBE.

```
data_SbPt2W
_cell_length_a 8.992
_cell_length_b 3.048
_cell_length_c 5.232
_cell_angle_alpha 90.00
_cell_angle_beta 101.24
_cell_angle_gamma 90.00
_space_group_name_H-M_alt 'C 1 m 1'
_space_group_IT_number 8
loop_
_space_group_symop_operation_xyz
'x,y,z'
'x,-y,z'
'x+1/2,y+1/2,z'
'x+1/2,-y+1/2,z'
loop_
_atom_site_label
_atom_site_type_symbol
_atom_site_fract_x
_atom_site_fract_y
_atom_site_fract_z
_atom_site_occupancy
Sb1 Sb 0.000 0.000 0.000 1
Pt1 Pt 0.008 0.500 0.510 1
Pt2 Pt 0.253 0.500 0.258 1
W1 W 0.252 0.000 0.699 1
```

Calculated density (Mg/m³): 16.43

# 9
SbPt2W: relaxed, GGA-PBE.

```
data_SbPt2W
_cell_length_a 3.035
_cell_length_b 4.054
_cell_length_c 5.654
_cell_angle_alpha 90.00
_cell_angle_beta 90.00
_cell_angle_gamma 90.00
_space_group_name_H-M_alt 'P m m m'
_space_group_IT_number 47
loop_
_space_group_symop_operation_xyz
'x,y,z'
'-x,-y,-z'
'-x,-y,z'
'x,y,-z'
'x,-y,-z'
'-x,y,z'
'-x,y,-z'
'x,-y,z'
loop_
_atom_site_label
_atom_site_type_symbol
_atom_site_fract_x
_atom_site_fract_y
_atom_site_fract_z
_atom_site_occupancy
Sb1 Sb 0.000 0.000 0.000 1
Pt1 Pt 0.500 0.500 0.268 1
W1 W 0.000 0.000 0.500 1
```

Calculated density (Mg/m³): 16.61

# 10
SbPt2W: relaxed, GGA-PBE.

```
data_SbPt2W
_cell_length_a 2.9776
_cell_length_b 2.9776
_cell_length_c 27.4103
_cell_angle_alpha 90.00
_cell_angle_beta 90.00
_cell_angle_gamma 120.00
_space_group_name_H-M_alt 'R 3 m'
_space_group_IT_number 160
_space_group_name_Hall 'R 3 -2"'
loop_
_atom_site_label
_atom_site_type_symbol
_atom_site_fract_x
_atom_site_fract_y
_atom_site_fract_z
_atom_site_occupancy
Sb1 Sb 0.0000 0.0000 0.0000 1
Pt1 Pt 0.0000 0.0000 0.5029 1
Pt2 Pt 0.0000 0.0000 0.7502 1
W1 W 0.0000 0.0000 0.2447 1
```

Calculated density (Mg/m³): 16.47

# 11
Sb2PtW: relaxed, GGA-PBE.

```
data_Sb2PtW
_cell_length_a 2.989
_cell_length_b 4.992
_cell_length_c 10.873
_cell_angle_alpha 90.00
_cell_angle_beta 90.00
_cell_angle_gamma 90.00
_space_group_name_H-M_alt 'I m m 2'
_space_group_IT_number 44
loop_
_space_group_symop_operation_xyz
'x,y,z'
'-x,-y,z'
'-x,y,z'
'x,-y,z'
'x+1/2,y+1/2,z+1/2'
'-x+1/2,-y+1/2,z+1/2'
'-x+1/2,y+1/2,z+1/2'
'x+1/2,-y+1/2,z+1/2'
loop_
_atom_site_label
_atom_site_type_symbol
_atom_site_fract_x
_atom_site_fract_y
_atom_site_fract_z
_atom_site_occupancy
Sb1 Sb 0.000 0.000 0.000 1
Sb2 Sb 0.000 0.500 0.193 1
Pt1 Pt 0.000 0.000 0.450 1
W1 W 0.000 0.500 0.740 1
```

Excess energy over the best structure of this formula in the dataset (kJ/mol of formula units): 103
Calculated density (Mg/m³): 12.74

# 12
SbPtW: relaxed, GGA-PBE.

```
data_SbPtW
_cell_length_a 13.247
_cell_length_b 3.294
_cell_length_c 4.997
_cell_angle_alpha 90.00
_cell_angle_beta 90.00
_cell_angle_gamma 90.00
_space_group_name_H-M_alt 'A m m 2'
_space_group_IT_number 38
loop_
_space_group_symop_operation_xyz
'x,y,z'
'-x,-y,z'
'-x,y,z'
'x,-y,z'
'x,y+1/2,z+1/2'
'-x,-y+1/2,z+1/2'
'-x,y+1/2,z+1/2'
'x,-y+1/2,z+1/2'
loop_
_atom_site_label
_atom_site_type_symbol
_atom_site_fract_x
_atom_site_fract_y
_atom_site_fract_z
_atom_site_occupancy
Sb1 Sb 0.171 0.000 0.000 1
Pt1 Pt 0.000 0.000 0.667 1
Pt2 Pt 0.500 0.000 0.698 1
W1 W 0.342 0.000 0.347 1
```

Excess energy over the best structure of this formula in the dataset (kJ/mol of formula units): 12
Calculated density (Mg/m³): 15.25

# 13
SbPt2W: relaxed, GGA-PBE.

```
data_SbPt2W
_cell_length_a 2.9581
_cell_length_b 2.9581
_cell_length_c 27.8926
_cell_angle_alpha 90.00
_cell_angle_beta 90.00
_cell_angle_gamma 120.00
_space_group_name_H-M_alt 'R -3 m'
_space_group_IT_number 166
_space_group_name_Hall '-R 3 2"'
loop_
_atom_site_label
_atom_site_type_symbol
_atom_site_fract_x
_atom_site_fract_y
_atom_site_fract_z
_atom_site_occupancy
Sb1 Sb 0.0000 0.0000 0.0000 1
Pt1 Pt 0.0000 0.0000 0.2449 1
W1 W 0.0000 0.0000 0.5000 1
```

Calculated density (Mg/m³): 16.40

# 14
Sb2PtW: relaxed, GGA-PBE.

```
data_Sb2PtW
_cell_length_a 3.0968
_cell_length_b 3.0968
_cell_length_c 31.8973
_cell_angle_alpha 90.00
_cell_angle_beta 90.00
_cell_angle_gamma 120.00
_space_group_name_H-M_alt 'R 3 m'
_space_group_IT_number 160
_space_group_name_Hall 'R 3 -2"'
loop_
_atom_site_label
_atom_site_type_symbol
_atom_site_fract_x
_atom_site_fract_y
_atom_site_fract_z
_atom_site_occupancy
Sb1 Sb 0.0000 0.0000 0.0000 1
Sb2 Sb 0.0000 0.0000 0.2089 1
Pt1 Pt 0.0000 0.0000 0.4703 1
W1 W 0.0000 0.0000 0.7387 1
```

Excess energy over the best structure of this formula in the dataset (kJ/mol of formula units): 71
Calculated density (Mg/m³): 11.70

# 15
Sb4PtW: relaxed, GGA-PBE.

```
data_Sb4PtW
_cell_length_a 8.398
_cell_length_b 8.398
_cell_length_c 8.398
_cell_angle_alpha 90.00
_cell_angle_beta 90.00
_cell_angle_gamma 90.00
_space_group_name_H-M_alt 'F -4 3 m'
_space_group_IT_number 216
_space_group_name_Hall 'F -4 2 3'
loop_
_atom_site_label
_atom_site_type_symbol
_atom_site_fract_x
_atom_site_fract_y
_atom_site_fract_z
_atom_site_occupancy
Sb1 Sb 0.125 0.125 0.125 1
Pt1 Pt 0.000 0.000 0.500 1
W1 W 0.250 0.250 0.750 1
```

Calculated density (Mg/m³): 9.71

# 16
SbPt2W: relaxed, GGA-PBE.

```
data_SbPt2W
_cell_length_a 2.824
_cell_length_b 4.290
_cell_length_c 12.949
_cell_angle_alpha 90.00
_cell_angle_beta 90.00
_cell_angle_gamma 90.00
_space_group_name_H-M_alt 'I m m 2'
_space_group_IT_number 44
loop_
_space_group_symop_operation_xyz
'x,y,z'
'-x,-y,z'
'-x,y,z'
'x,-y,z'
'x+1/2,y+1/2,z+1/2'
'-x+1/2,-y+1/2,z+1/2'
'-x+1/2,y+1/2,z+1/2'
'x+1/2,-y+1/2,z+1/2'
loop_
_atom_site_label
_atom_site_type_symbol
_atom_site_fract_x
_atom_site_fract_y
_atom_site_fract_z
_atom_site_occupancy
Sb1 Sb 0.000 0.000 0.000 1
Pt1 Pt 0.000 0.000 0.387 1
Pt2 Pt 0.000 0.500 0.150 1
W1 W 0.000 0.500 0.717 1
```

Calculated density (Mg/m³): 14.73

# 17
SbPtW: relaxed, GGA-PBE.

```
data_SbPtW
_cell_length_a 3.0712
_cell_length_b 3.0712
_cell_length_c 6.7124
_cell_angle_alpha 90.00
_cell_angle_beta 90.00
_cell_angle_gamma 120.00
_space_group_name_H-M_alt 'P 3 m 1'
_space_group_IT_number 156
loop_
_space_group_symop_operation_xyz
'x,y,z'
'-y,x-y,z'
'-x+y,-x,z'
'-y,-x,z'
'-x+y,y,z'
'x,x-y,z'
loop_
_atom_site_label
_atom_site_type_symbol
_atom_site_fract_x
_atom_site_fract_y
_atom_site_fract_z
_atom_site_occupancy
Sb1 Sb 0.0000 0.0000 0.0000 1
Pt1 Pt 0.3333 0.6667 0.6487 1
W1 W 0.6667 0.3333 0.3439 1
```

Excess energy over the best structure of this formula in the dataset (kJ/mol of formula units): 10
Calculated density (Mg/m³): 15.16

# 18
SbPt2W: relaxed, GGA-PBE.

```
data_SbPt2W
_cell_length_a 7.313
_cell_length_b 7.313
_cell_length_c 5.537
_cell_angle_alpha 90.00
_cell_angle_beta 90.00
_cell_angle_gamma 90.00
_space_group_name_H-M_alt 'I -4 2 d'
_space_group_IT_number 122
_space_group_name_Hall 'I -4 2bw'
loop_
_atom_site_label
_atom_site_type_symbol
_atom_site_fract_x
_atom_site_fract_y
_atom_site_fract_z
_atom_site_occupancy
Sb1 Sb 0.000 0.000 0.000 1
Pt1 Pt 0.244 0.250 0.625 1
W1 W 0.000 0.000 0.500 1
```

Calculated density (Mg/m³): 15.61

# 19
Sb2PtW: relaxed, GGA-PBE.

```
data_Sb2PtW
_cell_length_a 4.036
_cell_length_b 4.036
_cell_length_c 9.595
_cell_angle_alpha 90.00
_cell_angle_beta 90.00
_cell_angle_gamma 90.00
_space_group_name_H-M_alt 'I -4 m 2'
_space_group_IT_number 119
_space_group_name_Hall 'I -4 -2'
loop_
_atom_site_label
_atom_site_type_symbol
_atom_site_fract_x
_atom_site_fract_y
_atom_site_fract_z
_atom_site_occupancy
Sb1 Sb 0.000 0.000 0.000 1
Sb2 Sb 0.000 0.500 0.250 1
Pt1 Pt 0.000 0.000 0.500 1
W1 W 0.000 0.500 0.750 1
```

Excess energy over the best structure of this formula in the dataset (kJ/mol of formula units): 158
Calculated density (Mg/m³): 13.23

# 20
YSb2Pt: relaxed, GGA-PBE.

```
data_YSb2Pt
_cell_length_a 7.178
_cell_length_b 7.178
_cell_length_c 7.178
_cell_angle_alpha 90.00
_cell_angle_beta 90.00
_cell_angle_gamma 90.00
_space_group_name_H-M_alt 'F m -3 m'
_space_group_IT_number 225
_space_group_name_Hall '-F 4 2 3'
loop_
_atom_site_label
_atom_site_type_symbol
_atom_site_fract_x
_atom_site_fract_y
_atom_site_fract_z
_atom_site_occupancy
Y1 Y 0.000 0.000 0.000 1
Sb1 Sb 0.250 0.250 0.250 1
Pt1 Pt 0.000 0.000 0.500 1
```

Calculated density (Mg/m³): 9.47

The evaluated formation energy (no corrections) for the records listed, in turn: 0.165; 0.571; 0.147; 0.313; 0.285; 0.129; 0.377; 0.071; 0.065; 0.246; 0.379; 0.327; 0.130; 0.297; 1.277; 0.083; 0.318; 0.156; 0.521; -0.342 eV/atom.